Record 1
{"formula": "ScSi2Se", "functional": "PBE-GGA", "state": "relaxed", "magmom_total_mub_per_cell": 0.000, "cell": [[-0.157, -7.282, 2.124], [2.503, 1.956, 6.890], [-1.328, -2.369, 5.332]], "species": ["Si", "Si", "Si", "Si", "Se", "Se", "Sc", "Sc"], "frac_coords": [[0.636, 0.125, 0.250], [0.114, 0.625, 0.250], [0.375, 0.364, 0.750], [0.875, 0.886, 0.750], [0.000, 0.000, 0.000], [0.750, 0.250, 0.500], [0.250, 0.750, 0.500], [0.500, 0.500, 0.000]]}


Record 2
{"formula": "Sc3SiSe6", "functional": "PBE-GGA", "state": "relaxed", "magmom_total_mub_per_cell": 0.000, "cell": [[-2.724, -5.822, -0.451], [5.833, -2.275, -5.872], [3.716, -2.310, 7.384]], "species": ["Se", "Se", "Se", "Se", "Se", "Se", "Se", "Se", "Se", "Se", "Se", "Se", "Sc", "Sc", "Sc", "Sc", "Sc", "Sc", "Si", "Si"], "frac_coords": [[0.180, 0.706, 0.621], [0.207, 0.107, 0.558], [0.165, 0.787, 0.213], [0.680, 0.294, 0.379], [0.207, 0.442, 0.893], [0.169, 0.043, 0.957], [0.680, 0.621, 0.706], [0.707, 0.558, 0.107], [0.180, 0.379, 0.294], [0.665, 0.213, 0.787], [0.707, 0.893, 0.442], [0.669, 0.957, 0.043], [0.990, 0.092, 0.276], [0.373, 0.413, 0.587], [0.490, 0.276, 0.092], [0.873, 0.587, 0.413], [0.990, 0.724, 0.908], [0.490, 0.908, 0.724], [0.526, 0.795, 0.205], [0.026, 0.205, 0.795]]}


Record 3
{"formula": "ScSiSe2", "functional": "PBE-GGA", "state": "relaxed", "magmom_total_mub_per_cell": 0.000, "cell": [[3.474, 0.000, 0.000], [0.000, 3.426, -0.025], [0.000, 0.059, 7.082]], "species": ["Sc", "Se", "Se", "Si"], "frac_coords": [[0.500, 0.750, 0.750], [0.000, 0.251, 0.532], [0.000, 0.249, 0.968], [0.500, 0.250, 0.250]]}


Record 4
{"formula": "ScSi2Se", "functional": "PBE-GGA", "state": "relaxed", "magmom_total_mub_per_cell": 0.000, "cell": [[-2.424, 0.563, 2.751], [2.574, -1.005, 2.475], [1.706, 5.367, 0.405]], "species": ["Sc", "Si", "Si", "Se"], "frac_coords": [[0.000, 0.000, 0.579], [0.500, 0.500, 0.189], [0.000, 0.000, 0.096], [0.500, 0.500, 0.637]]}


no.,formation energy (no corrections) (eV per atom),density (kg/m³)
1,-0.030,3920
2,-1.226,4569
3,-0.619,4551
4,-0.435,3849